# K2Bi2O

Crystalline K2Bi2O at its relaxed geometry (PBE, the Alexandria database).

Properties
As for the space group: No. 139. The calculation puts the energy above the most stable polymorph in this dataset at 4.4 kJ/mol of atoms.

```
K2Bi2O
1.0
7.118 0.000 0.000
0.000 7.118 0.000
0.000 0.000 7.546
K Bi O
4 4 2
direct
0.000 0.500 0.250
0.000 0.500 0.750
0.500 0.000 0.250
0.500 0.000 0.750
0.000 0.000 0.204
0.000 0.000 0.796
0.500 0.500 0.296
0.500 0.500 0.704
0.000 0.000 0.500
0.500 0.500 0.000
```

---

# K8Bi2O

Crystalline K8Bi2O at its relaxed geometry (PBE, the Alexandria database).

Properties
As for the space group: No. 12. The total energy is -27.0 eV/f.u.

```
K8Bi2O
1.0
10.443 -3.033 0.000
10.443 3.033 0.000
-2.528 0.000 6.854
K Bi O
8 2 1
direct
0.003 0.003 0.234
0.230 0.230 0.214
0.386 0.386 0.680
0.407 0.407 0.168
0.593 0.593 0.832
0.614 0.614 0.320
0.770 0.770 0.786
0.997 0.997 0.766
0.156 0.156 0.651
0.844 0.844 0.349
0.500 0.500 0.000
```